A relaxed structure of Mn3O5F. Source: the Alexandria database, functional PBE with a Hubbard U.

Offset from the most stable computed form (eV per atom): 0.016
Calculated total energy (eV per cell): -125.07
SG: P-1, No. 2

Cell: 4.5048 5.4856 7.5649 Å, 85.70 88.50 88.04°
Element x y z (fractional)
Mn  0.0000  0.0000  0.0000
Mn  0.0039  0.3392  0.6685
Mn  0.4785  0.8313  0.6515
Mn  0.5000  0.5000  0.0000
Mn  0.5215  0.1687  0.3485
Mn  0.9961  0.6608  0.3315
O  0.2026  0.7060  0.1057
O  0.2169  0.3840  0.4441
O  0.2214  0.0571  0.7741
O  0.2792  0.5567  0.7691
O  0.2850  0.8881  0.4388
O  0.7150  0.1119  0.5612
O  0.7208  0.4433  0.2309
O  0.7786  0.9429  0.2259
O  0.7831  0.6160  0.5559
O  0.7974  0.2940  0.8943
F  0.3008  0.2004  0.1281
F  0.6992  0.7996  0.8719